ErAl3Ir2 PBE optimized geometry; magnetization = 0.000 μB/cell; space group = C2/m (12); formation energy = -825 meV/atom; total energy = -6.411 eV per atom; Fermi-level density of states = 0.46 states/eV/atom
1.0
-2.615 3.110 0.574
-4.735 -6.018 -3.635
-0.113 -1.876 9.651
Al Er Ir
9 3 6
direct
0.378 0.755 0.796
0.622 0.245 0.204
0.956 0.913 0.660
0.214 0.428 0.396
0.321 0.642 0.034
0.786 0.572 0.604
0.500 0.000 0.500
0.679 0.358 0.966
0.044 0.087 0.340
0.163 0.327 0.710
0.000 0.000 0.000
0.837 0.673 0.290
0.637 0.274 0.462
0.363 0.726 0.538
0.811 0.623 0.872
0.533 0.066 0.778
0.467 0.934 0.222
0.189 0.377 0.128


SrLiCaGa PBE optimized geometry; magnetization = 0.003 μB/cell; space group = Cm (8); formation energy = -166 meV/atom; total energy = -2.322 eV per atom; Fermi-level density of states = 1.02 states/eV/atom
1.0
4.678 -0.012 -0.003
-2.322 4.061 0.003
-2.334 -1.352 7.046
Sr Ga Li Ca
1 1 1 1
direct
0.358 0.044 0.403
0.831 0.280 0.111
0.498 0.614 0.112
0.004 0.866 0.871


La5PrY2Tm PBE optimized geometry; magnetization = 0.000 μB/cell; space group = I4/mcm (140); formation energy = 292 meV/atom; total energy = -4.909 eV per atom; Fermi-level density of states = 1.64 states/eV/atom
1.0
9.651 0.000 0.000
0.000 9.651 0.000
-4.826 -4.826 6.988
La Y Tm Pr
10 4 2 2
direct
0.564 0.661 0.725
0.436 0.339 0.275
0.000 0.000 0.000
0.839 0.936 0.275
0.661 0.161 0.725
0.936 0.436 0.275
0.500 0.500 0.000
0.161 0.064 0.725
0.064 0.564 0.725
0.339 0.839 0.275
0.608 0.108 0.000
0.392 0.892 0.000
0.892 0.608 0.000
0.108 0.392 0.000
0.250 0.750 0.500
0.750 0.250 0.500
0.250 0.250 0.500
0.750 0.750 0.500


Sc3NbSe PBE optimized geometry; magnetization = 0.870 μB/cell; space group = Pm-3m (221); total energy = -6.518 eV per atom; Fermi-level density of states = 1.78 states/eV/atom
1.0
-3.607 3.368 -0.371
-0.007 -0.549 -4.919
-3.389 -3.584 0.405
Se Sc Nb
1 3 1
direct
0.000 0.000 0.000
0.000 0.500 0.000
0.500 0.000 0.000
0.000 0.000 0.500
0.500 0.500 0.500


ZrMo2 PBE optimized geometry; magnetization = 0.000 μB/cell; space group = P4/mmm (123); formation energy = 565 meV/atom; total energy = -9.505 eV per atom; Fermi-level density of states = 0.55 states/eV/atom
1.0
-3.360 0.383 1.278
-1.309 -0.277 -3.358
-0.340 -4.717 0.521
Mo Zr
2 1
direct
0.500 0.000 0.500
0.000 0.500 0.500
0.000 0.000 0.000


Sm2CuSn2 PBE optimized geometry; magnetization = 0.002 μB/cell; space group = C2/m (12); formation energy = -631 meV/atom; total energy = -4.939 eV per atom; Fermi-level density of states = 0.76 states/eV/atom
1.0
-1.205 2.295 -3.718
-2.925 -3.548 -4.004
-8.941 3.956 2.576
Cu Sn Sm
2 4 4
direct
0.369 0.919 0.343
0.631 0.081 0.657
0.090 0.253 0.567
0.910 0.747 0.433
0.353 0.175 0.120
0.647 0.825 0.880
0.923 0.262 0.893
0.326 0.680 0.668
0.077 0.738 0.107
0.674 0.320 0.332


ErTiRe4 PBE optimized geometry; magnetization = 0.000 μB/cell; space group = F-43m (216); formation energy = -155 meV/atom; total energy = -10.530 eV per atom; Fermi-level density of states = 1.46 states/eV/atom
1.0
5.293 0.000 0.000
2.646 4.584 0.000
2.646 1.528 4.322
Re Ti Er
4 1 1
direct
0.625 0.625 0.625
0.625 0.625 0.124
0.124 0.625 0.625
0.625 0.124 0.625
0.000 0.000 0.000
0.250 0.250 0.250


TlCdAg2 PBE optimized geometry; magnetization = 0.000 μB/cell; space group = Pmm2 (25); formation energy = 60 meV/atom; total energy = -2.186 eV per atom; Fermi-level density of states = 0.24 states/eV/atom
1.0
3.367 0.000 0.000
0.000 3.785 0.000
0.000 0.000 6.788
Tl Ag Cd
1 2 1
direct
0.500 0.500 0.768
0.500 0.500 0.242
0.000 0.000 0.030
0.000 0.000 0.461


Pm2YHo4Sc PBE optimized geometry; magnetization = 0.000 μB/cell; space group = P4/mmm (123); formation energy = 34 meV/atom; total energy = -5.042 eV per atom; Fermi-level density of states = 1.46 states/eV/atom
1.0
-1.165 -2.767 4.003
3.880 -3.014 -0.954
9.715 2.707 4.699
Ho Pm Sc Y
4 2 1 1
direct
0.000 0.244 0.256
0.500 0.256 0.745
0.000 0.756 0.744
0.500 0.744 0.255
0.500 0.000 0.500
0.000 0.000 0.000
0.000 0.500 0.500
0.500 0.500 0.000


Tm2HOs PBE optimized geometry; magnetization = 0.000 μB/cell; space group = P4/mmm (123); total energy = -6.025 eV per atom; Fermi-level density of states = 0.46 states/eV/atom
1.0
3.242 0.000 0.000
0.000 3.242 0.000
0.000 0.000 7.016
H Tm Os
1 2 1
direct
0.500 0.500 0.500
0.000 0.000 0.759
0.000 0.000 0.241
0.500 0.500 0.000


MgTi3F PBE optimized geometry; magnetization = 4.483 μB/cell; space group = Pm-3m (221); total energy = -4.216 eV per atom; Fermi-level density of states = 0.66 states/eV/atom
1.0
-4.427 -2.162 -0.413
1.380 -2.005 -4.303
1.714 -3.968 2.399
Ti F Mg
3 1 1
direct
0.500 0.000 0.000
0.000 0.000 0.500
0.000 0.500 0.000
0.500 0.500 0.500
0.000 0.000 0.000


CaRe PBE optimized geometry; magnetization = 1.958 μB/cell; space group = P4_2/mnm (136); formation energy = 1432 meV/atom; total energy = -5.793 eV per atom; Fermi-level density of states = 1.49 states/eV/atom
1.0
-5.911 -1.147 1.225
0.036 -4.569 -4.108
1.619 -3.806 4.247
Re Ca
4 4
direct
0.128 0.128 0.000
0.872 0.872 0.000
0.628 0.372 0.500
0.372 0.628 0.500
0.187 0.187 0.500
0.313 0.687 0.000
0.813 0.813 0.500
0.687 0.313 0.000